# 1
## Cs2AlSiAu6 (PBE-GGA)

Data for an optimized crystal structure of Cs2AlSiAu6.

Cell and atoms, written as extended XYZ:
```
10
Lattice="-6.382 -2.900 -0.283 2.286 -5.417 4.237 -3.216 -1.743 6.270" Properties=species:S:1:pos:R:3 pbc="T T T"
Au -2.862 -6.210 8.999
Cs -1.684 -5.593 5.572
Si -2.048 -4.158 1.977
Au -4.713 -7.552 6.398
Cs -5.628 -4.466 4.652
Au -6.569 -8.066 8.653
Au -4.451 -3.850 1.226
Au -2.599 -2.507 3.827
Al 0.000 0.000 0.000
Au -0.743 -1.994 1.572
```

Results
DOS at the Fermi energy, states/eV/atom: 0.26
Magnetic moment, μB/cell: 0.00
Space-group type: P-1
Formation energy from raw total energies, eV/atom: -0.25

---

# 2
## CsAl2SnAu (PBE-GGA)

Data for an optimized crystal structure of CsAl2SnAu.

Cell and atoms, written as extended XYZ:
```
5
Lattice="5.049 0.000 0.000 0.000 6.009 0.000 0.000 0.000 5.049" Properties=species:S:1:pos:R:3 pbc="T T T"
Al 2.525 0.000 0.000
Al 0.000 0.000 2.525
Au 0.000 0.000 0.000
Cs 2.525 3.004 2.525
Sn 0.000 3.004 0.000
```

Results
Energy of formation, eV per atom: 0.25
DOS at the Fermi energy, states/eV/atom: 0.84
Magnetic moment, μB/cell: 0.00
Space-group type: P4/mmm